Computed, not measured: a geometry-optimized SmMnSi2Rh structure at the GGA-PBE level of DFT.

Structure (POSCAR):
```
SmMnSi2Rh
1.0
-2.0162 2.0162 5.1379
2.0162 -2.0162 5.1379
2.0162 2.0162 -5.1379
Sm Mn Si Rh
1 1 2 1
Cartesian
0.0000 0.0000 0.0000
0.0000 2.0162 2.5690
0.0000 0.0000 3.9099
0.0000 0.0000 6.3660
2.0162 0.0000 2.5690
```

Calculated values
**Size of the total moment**: 2.695 μB/f.u.
**Final energy**: -7.246 eV/atom
**Uncorrected formation energy**: -4.15 eV/f.u.
**Crystal system**: tetragonal



Computed, not measured: a geometry-optimized TbMnSi3Rh structure at the GGA-PBE level of DFT.

Structure (POSCAR):
```
TbMnSi3Rh
1.0
3.6821 -5.4099 0.0000
3.6821 5.4099 0.0000
0.0000 0.0000 5.4327
Tb Mn Si Rh
2 2 6 2
Cartesian
3.6821 2.7977 4.0745
3.6821 -2.7977 1.3582
3.6821 4.9159 1.3582
3.6821 -4.9159 4.0745
1.7757 0.0000 0.0000
1.7757 0.0000 2.7163
3.6821 2.8032 1.3582
3.6821 -2.8032 4.0745
5.5885 0.0000 0.0000
5.5885 0.0000 2.7163
3.6821 0.5995 1.3582
3.6821 -0.5995 4.0745
```

Calculated values
**Size of the total moment**: 0.000 μB/f.u.
**Final energy**: -6.648 eV/atom
**Uncorrected formation energy**: -2.47 eV/f.u.
**Crystal system**: orthorhombic



Computed, not measured: a geometry-optimized Tb2MnSiRh6 structure at the GGA-PBE level of DFT.

Structure (POSCAR):
```
Tb2MnSiRh6
1.0
5.4896 -2.7184 0.0000
5.4896 2.7184 0.0000
-4.6437 0.0000 5.7677
Tb Mn Si Rh
2 1 1 6
Cartesian
-1.1242 0.0000 1.4220
7.4597 0.0000 4.3457
5.4896 0.0000 0.0000
3.1678 0.0000 2.8839
1.9200 1.3465 1.1676
0.8678 0.0000 3.3014
4.4155 1.3465 4.6001
1.9200 -1.3465 1.1676
5.4677 0.0000 2.4663
4.4155 -1.3465 4.6001
```

Calculated values
**Size of the total moment**: 3.839 μB/f.u.
**Final energy**: -7.299 eV/atom
**Uncorrected formation energy**: -5.03 eV/f.u.
**Crystal system**: monoclinic



Computed, not measured: a geometry-optimized ThMnSi2Rh structure at the GGA-PBE level of DFT.

Structure (POSCAR):
```
ThMnSi2Rh
1.0
-2.0722 2.0722 4.8952
2.0722 -2.0722 4.8952
2.0722 2.0722 -4.8952
Th Mn Si Rh
1 1 2 1
Cartesian
0.0000 0.0000 0.0000
0.0000 2.0722 2.4476
0.0000 0.0000 3.6171
0.0000 0.0000 6.1733
2.0722 0.0000 2.4476
```

Calculated values
**Size of the total moment**: 0.505 μB/f.u.
**Final energy**: -7.791 eV/atom
**Uncorrected formation energy**: -4.17 eV/f.u.
**Crystal system**: tetragonal



Computed, not measured: a geometry-optimized YMn2SiRh structure at the GGA-PBE level of DFT.

Structure (POSCAR):
```
YMn2SiRh
1.0
4.3096 0.0000 0.0000
0.0000 4.3096 0.0000
0.0000 0.0000 5.2957
Y Mn Si Rh
1 2 1 1
Cartesian
0.0000 0.0000 0.0000
0.0000 2.1548 2.6479
2.1548 0.0000 2.6479
0.0000 0.0000 2.6479
2.1548 2.1548 0.0000
```

Calculated values
**Size of the total moment**: 5.337 μB/f.u.
**Final energy**: -7.058 eV/atom
**Uncorrected formation energy**: 2.29 eV/f.u.
**Crystal system**: tetragonal



Computed, not measured: a geometry-optimized YMnSi2Rh structure at the GGA-PBE level of DFT.

Structure (POSCAR):
```
YMnSi2Rh
1.0
-1.9977 1.9977 5.1020
1.9977 -1.9977 5.1020
1.9977 1.9977 -5.1020
Y Mn Si Rh
1 1 2 1
Cartesian
0.0000 0.0000 0.0000
0.0000 1.9977 2.5510
0.0000 0.0000 3.8956
0.0000 0.0000 6.3083
1.9977 0.0000 2.5510
```

Calculated values
**Size of the total moment**: 2.621 μB/f.u.
**Final energy**: -7.612 eV/atom
**Uncorrected formation energy**: -4.23 eV/f.u.
**Crystal system**: tetragonal



Computed, not measured: a geometry-optimized ZrMnSiRh2 structure at the GGA-PBE level of DFT.

Structure (POSCAR):
```
ZrMnSiRh2
1.0
4.4799 0.0000 0.0000
0.0000 4.4799 0.0000
0.0000 0.0000 4.3064
Zr Mn Si Rh
1 1 1 2
Cartesian
0.0000 0.0000 0.0000
2.2400 2.2400 2.1532
2.2400 2.2400 0.0000
0.0000 2.2400 2.1532
2.2400 0.0000 2.1532
```

Calculated values
**Offset from the most stable computed form**: 0.000 eV per atom
**Size of the total moment**: 0.000 μB/f.u.
**Final energy**: -7.248 eV/atom
**Uncorrected formation energy**: 1.60 eV/f.u.
**Crystal system**: tetragonal



Computed, not measured: a geometry-optimized ZrMnSiRh2 structure at the GGA-PBE level of DFT.

Structure (POSCAR):
```
ZrMnSiRh2
1.0
4.4000 0.0000 0.0000
0.0000 4.4000 0.0000
0.0000 0.0000 4.7754
Zr Mn Si Rh
1 1 1 2
Cartesian
0.0000 0.0000 0.0000
0.0000 0.0000 2.3877
2.2000 2.2000 0.0000
0.0000 2.2000 2.3877
2.2000 0.0000 2.3877
```

Calculated values
**Offset from the most stable computed form**: 0.333 eV per atom
**Size of the total moment**: 0.000 μB/f.u.
**Final energy**: -6.915 eV/atom
**Uncorrected formation energy**: 3.27 eV/f.u.
**Crystal system**: tetragonal



Computed, not measured: a geometry-optimized SmMnRh2 structure at the GGA-PBE level of DFT.

Structure (POSCAR):
```
SmMnRh2
1.0
0.0000 3.2849 3.2849
3.2849 0.0000 3.2849
3.2849 3.2849 0.0000
Sm Mn Rh
1 1 2
Cartesian
0.0000 0.0000 0.0000
3.2849 3.2849 3.2849
1.6425 1.6425 1.6425
4.9274 4.9274 4.9274
```

Calculated values
**Size of the total moment**: 4.572 μB/f.u.
**Final energy**: -7.535 eV/atom
**Crystal system**: cubic
**Energy of formation**: -0.3873 eV per atom



Computed, not measured: a geometry-optimized Sm2MnRh3 structure at the GGA-PBE level of DFT.

Structure (POSCAR):
```
Sm2MnRh3
1.0
5.5917 0.0000 0.0000
-2.7959 4.8426 0.0000
0.0000 0.0000 8.2068
Sm Mn Rh
4 2 6
Cartesian
0.0000 3.2284 0.4999
0.0000 3.2284 3.6035
2.7959 1.6142 4.6033
2.7959 1.6142 7.7069
0.0000 0.0000 0.0000
0.0000 0.0000 4.1034
0.0000 1.6238 6.1551
-1.3896 4.0306 6.1551
1.4063 0.8119 2.0517
1.3896 4.0306 6.1551
4.1854 0.8119 2.0517
2.7959 3.2187 2.0517
```

Calculated values
**Size of the total moment**: 3.777 μB/f.u.
**Final energy**: -7.356 eV/atom
**Crystal system**: hexagonal
**Energy of formation**: -0.5789 eV per atom



Computed, not measured: a geometry-optimized SmMnRh2 structure at the GGA-PBE level of DFT.

Structure (POSCAR):
```
SmMnRh2
1.0
2.1525 1.2427 4.7356
-2.1525 1.2427 4.7356
0.0000 -2.4855 4.7356
Sm Mn Rh
1 1 2
Cartesian
0.0000 0.0000 0.0000
0.0000 0.0000 7.1034
0.0000 0.0000 3.0135
0.0000 0.0000 11.1932
```

Calculated values
**Size of the total moment**: 3.781 μB/f.u.
**Final energy**: -7.482 eV/atom
**Crystal system**: trigonal
**Energy of formation**: -0.3337 eV per atom



Computed, not measured: a geometry-optimized Sm2Mn2SnRh5 structure at the GGA-PBE level of DFT.

Structure (POSCAR):
```
Sm2Mn2SnRh5
1.0
9.7003 0.0000 0.0000
0.0000 9.7003 0.0000
0.0000 0.0000 3.7675
Sm Mn Sn Rh
4 4 2 10
Cartesian
1.7429 3.1073 0.0000
3.1073 7.9575 0.0000
6.5930 1.7429 0.0000
7.9575 6.5930 0.0000
1.1466 5.9967 0.0000
3.7036 1.1466 0.0000
5.9967 8.5538 0.0000
8.5538 3.7036 0.0000
0.0000 0.0000 0.0000
4.8502 4.8502 0.0000
0.0000 4.8502 1.8838
0.6326 7.6510 1.8838
2.0493 0.6326 1.8838
2.8008 5.4828 1.8838
4.2175 2.8008 1.8838
4.8502 0.0000 1.8838
5.4828 6.8995 1.8838
6.8995 4.2175 1.8838
7.6510 9.0677 1.8838
9.0677 2.0493 1.8838
```

Calculated values
**Size of the total moment**: 7.342 μB/f.u.
**Final energy**: -7.308 eV/atom
**Crystal system**: tetragonal
**Energy of formation**: -0.4538 eV per atom



Computed, not measured: a geometry-optimized Sm2Mn2ZnRh5 structure at the GGA-PBE level of DFT.

Structure (POSCAR):
```
Sm2Mn2ZnRh5
1.0
9.6283 0.0000 0.0000
0.0000 9.6283 0.0000
0.0000 0.0000 3.6864
Sm Mn Zn Rh
4 4 2 10
Cartesian
1.7166 3.0976 0.0000
3.0976 7.9117 0.0000
6.5307 1.7166 0.0000
7.9117 6.5307 0.0000
1.1767 5.9908 0.0000
3.6375 1.1767 0.0000
5.9908 8.4516 0.0000
8.4516 3.6375 0.0000
0.0000 0.0000 0.0000
4.8142 4.8142 0.0000
0.0000 4.8142 1.8432
0.5941 7.6702 1.8432
1.9581 0.5941 1.8432
2.8560 5.4082 1.8432
4.2201 2.8560 1.8432
4.8142 0.0000 1.8432
5.4082 6.7723 1.8432
6.7723 4.2201 1.8432
7.6702 9.0343 1.8432
9.0343 1.9581 1.8432
```

Calculated values
**Size of the total moment**: 7.243 μB/f.u.
**Final energy**: -6.936 eV/atom
**Crystal system**: tetragonal
**Energy of formation**: -0.3549 eV per atom